No. 1
A relaxed AcTbHo2 crystal. Source: Alexandria, functional PBE-GGA.

The space group is P4/mmm (No. 123) and the conventional cell measures 4.1636, 4.1636 and 8.0157 Å, with angles of 90.00, 90.00 and 90.00 degrees. The asymmetric unit holds Ac at (0.0000, 0.0000, 0.0000), Tb at (0.0000, 0.0000, 0.5000) and Ho at (0.5000, 0.5000, 0.2734).

The value obtained for the raw total energy is -4.363 eV per atom. As for the total moment: 0.0 μB/cell. As for the formation energy: 0.11 eV/atom. The offset from the most stable computed form comes out at 0.062 eV per atom.



No. 2
A relaxed Ti7Zn2Pt2 crystal. Source: Alexandria, functional PBE-GGA.

The space group is P-1 (No. 2) and the conventional cell measures 5.3542, 5.3815 and 7.3795 Å, with angles of 75.41, 72.95 and 66.44 degrees. The asymmetric unit holds Ti at (0.0000, 0.0000, 0.0000), Ti at (0.0927, 0.5929, 0.7437), Ti at (0.3527, 0.4511, 0.3611), Ti at (0.4535, 0.9287, 0.3098), Zn at (0.4024, 0.3190, 0.0026) and Pt at (0.0822, 0.1065, 0.6213).

The value obtained for the raw total energy is -6.693 eV per atom. As for the total moment: 0.6 μB/cell. As for the formation energy: -0.34 eV/atom.



No. 3
A relaxed HfMgZr2O crystal. Source: Alexandria, functional PBE-GGA.

The space group is P4/mmm (No. 123) and the conventional cell measures 4.6111, 4.6111 and 4.3226 Å, with angles of 90.00, 90.00 and 90.00 degrees. The asymmetric unit holds Hf at (0.0000, 0.0000, 0.0000), Mg at (0.5000, 0.5000, 0.0000), Zr at (0.0000, 0.5000, 0.5000) and O at (0.0000, 0.0000, 0.5000).

The value obtained for the raw total energy is -7.708 eV per atom. As for the total moment: 0.0 μB/cell.



No. 4
A relaxed Tl2Te crystal. Source: Alexandria, functional PBE-GGA.

The space group is I4/mmm (No. 139) and the conventional cell measures 4.1120, 4.1120 and 12.5196 Å, with angles of 90.00, 90.00 and 90.00 degrees. The asymmetric unit holds Tl at (0.0000, 0.0000, 0.1421) and Te at (0.0000, 0.0000, 0.5000).

The value obtained for the raw total energy is -2.853 eV per atom. As for the total moment: 0.0 μB/cell. The offset from the most stable computed form comes out at 0.070 eV per atom.



No. 5
A relaxed Tl2GeRh crystal. Source: Alexandria, functional PBE-GGA.

The space group is I-42d (No. 122) and the conventional cell measures 9.7502, 9.7502 and 4.6905 Å, with angles of 90.00, 90.00 and 90.00 degrees. The asymmetric unit holds Tl at (0.1177, 0.7500, 0.1250), Ge at (0.0000, 0.0000, 0.5000) and Rh at (0.0000, 0.0000, 0.0000).

The value obtained for the raw total energy is -4.058 eV per atom. As for the total moment: 0.0 μB/cell. As for the formation energy: 0.12 eV/atom.



No. 6
A relaxed Sr3TiCu2O6 crystal. Source: Alexandria, functional PBE-GGA.

The space group is P-3m1 (No. 164) and the conventional cell measures 5.7374, 5.7374 and 6.3374 Å, with angles of 90.00, 90.00 and 120.00 degrees. The asymmetric unit holds Sr at (0.0000, 0.0000, 0.0000), Sr at (0.3333, 0.6667, 0.6342), Ti at (0.0000, 0.0000, 0.5000), Cu at (0.3333, 0.6667, 0.1699) and O at (0.1599, 0.3199, 0.3143).

The value obtained for the raw total energy is -6.328 eV per atom. As for the total moment: 0.0 μB/cell.



No. 7
A relaxed Na2Mg4Pb5 crystal. Source: Alexandria, functional PBE-GGA.

The space group is C2/m (No. 12) and the conventional cell measures 12.5271, 6.7649 and 9.5722 Å, with angles of 90.00, 128.38 and 90.00 degrees. The asymmetric unit holds Na at (0.0478, 0.0000, 0.2411), Mg at (0.1193, 0.5000, 0.3806), Mg at (0.2129, 0.5000, 0.9651), Pb at (0.0000, 0.5000, 0.0000) and Pb at (0.1772, 0.2387, 0.6819).

The value obtained for the raw total energy is -2.539 eV per atom. As for the total moment: 0.0 μB/cell. As for the formation energy: -0.03 eV/atom.



No. 8
A relaxed BaTlSe3 crystal. Source: Alexandria, functional PBE-GGA.

The space group is Pm-3m (No. 221) and the conventional cell measures 5.4592, 5.4592 and 5.4592 Å, with angles of 90.00, 90.00 and 90.00 degrees. The asymmetric unit holds Ba at (0.0000, 0.0000, 0.0000), Tl at (0.5000, 0.5000, 0.5000) and Se at (0.0000, 0.5000, 0.5000).

The value obtained for the raw total energy is -3.549 eV per atom. As for the total moment: 0.0 μB/cell. The offset from the most stable computed form comes out at 0.271 eV per atom.



Please write out number 3 again, unchanged.
A relaxed HfMgZr2O crystal. Source: Alexandria, functional PBE-GGA.

The space group is P4/mmm (No. 123) and the conventional cell measures 4.6111, 4.6111 and 4.3226 Å, with angles of 90.00, 90.00 and 90.00 degrees. The asymmetric unit holds Hf at (0.0000, 0.0000, 0.0000), Mg at (0.5000, 0.5000, 0.0000), Zr at (0.0000, 0.5000, 0.5000) and O at (0.0000, 0.0000, 0.5000).

The value obtained for the raw total energy is -7.708 eV per atom. As for the total moment: 0.0 μB/cell.



Question: What is the raw total energy in the fifth record?
Answer: -4.058 eV per atom